(1)
This record from Alexandria via LeMat-Bulk describes a relaxed structure of K3Np3TcSe8. The functional is PBE.

Computed properties:
Fermi-level density of states in states/eV/cell: 32.05
Formation energy from raw total energies in eV per atom: -1.035

abc: 9.2320 9.2320 9.2320
angles: 51.71 51.71 51.71
Positions (direct):
K  0.0000  0.5000  0.5000
K  0.5000  0.0000  0.5000
K  0.5000  0.5000  0.0000
Np  0.0000  0.0000  0.5000
Np  0.0000  0.5000  0.0000
Np  0.5000  0.0000  0.0000
Tc  0.5000  0.5000  0.5000
Se  0.2369  0.2369  0.2369
Se  0.2548  0.7193  0.7193
Se  0.2807  0.2807  0.7452
Se  0.2807  0.7452  0.2807
Se  0.7193  0.2548  0.7193
Se  0.7193  0.7193  0.2548
Se  0.7452  0.2807  0.2807
Se  0.7631  0.7631  0.7631

(2)
This record from Alexandria via LeMat-Bulk describes a relaxed structure of KNp2Te4Se. The functional is PBE.

Computed properties:
Fermi-level density of states in states/eV/cell: 32.40
Formation energy from raw total energies in eV per atom: -0.547

abc: 8.0494 8.0494 15.3690
angles: 90.00 90.00 146.57
Positions (direct):
K  0.1501  0.8499  0.7500
K  0.8499  0.1501  0.2500
Np  0.3718  0.6282  0.5738
Np  0.3718  0.6282  0.9262
Np  0.6282  0.3718  0.0738
Np  0.6282  0.3718  0.4262
Te  0.0000  0.0000  0.0000
Te  0.0000  0.0000  0.5000
Te  0.2673  0.7327  0.0986
Te  0.2673  0.7327  0.4014
Te  0.4836  0.5164  0.7500
Te  0.5164  0.4836  0.2500
Te  0.7327  0.2673  0.5986
Te  0.7327  0.2673  0.9014
Se  0.0971  0.9029  0.2500
Se  0.9029  0.0971  0.7500

(3)
This record from Alexandria via LeMat-Bulk describes a relaxed structure of KNpTeSe. The functional is PBE.

Computed properties:
Fermi-level density of states in states/eV/cell: 30.88
Formation energy from raw total energies in eV per atom: -1.054

abc: 4.3716 4.3716 24.2637
angles: 90.00 90.00 120.00
Positions (direct):
K  0.0000  0.0000  0.0000
K  0.3333  0.6667  0.6667
K  0.6667  0.3333  0.3333
Np  0.0000  0.0000  0.1792
Np  0.3333  0.6667  0.8459
Np  0.6667  0.3333  0.5125
Te  0.0000  0.0000  0.7699
Te  0.3333  0.6667  0.4366
Te  0.6667  0.3333  0.1032
Se  0.0000  0.0000  0.5742
Se  0.3333  0.6667  0.2408
Se  0.6667  0.3333  0.9075

(4)
This record from Alexandria via LeMat-Bulk describes a relaxed structure of K2Np2TeSe6. The functional is PBE.

Computed properties:
Fermi-level density of states in states/eV/cell: 17.69
Formation energy from raw total energies in eV per atom: -0.918

abc: 8.0196 8.0196 8.3369
angles: 91.62 91.62 139.12
Positions (direct):
K  0.1246  0.8754  0.0000
K  0.8754  0.1246  0.0000
Np  0.3624  0.6376  0.5000
Np  0.6376  0.3624  0.5000
Te  0.0000  0.0000  0.5000
Se  0.0138  0.4999  0.7220
Se  0.3488  0.3488  0.2699
Se  0.4999  0.0138  0.7220
Se  0.5001  0.9862  0.2780
Se  0.6512  0.6512  0.7301
Se  0.9862  0.5001  0.2780

(5)
This record from Alexandria via LeMat-Bulk describes a relaxed structure of K2NpTeSe4. The functional is PBE.

Computed properties:
Fermi-level density of states in states/eV/cell: 25.99
Formation energy from raw total energies in eV per atom: -0.708

abc: 8.2284 8.2284 8.2720
angles: 90.00 90.00 90.00
Positions (direct):
K  0.0000  0.0000  0.0000
K  0.0000  0.5000  0.2500
K  0.5000  0.0000  0.7500
K  0.5000  0.5000  0.5000
Np  0.0000  0.5000  0.7500
Np  0.5000  0.0000  0.2500
Te  0.0000  0.0000  0.5000
Te  0.5000  0.5000  0.0000
Se  0.1708  0.2913  0.5551
Se  0.2087  0.6708  0.9449
Se  0.2913  0.8292  0.4449
Se  0.3292  0.2087  0.0551
Se  0.6708  0.7913  0.0551
Se  0.7087  0.1708  0.4449
Se  0.7913  0.3292  0.9449
Se  0.8292  0.7087  0.5551

(6)
This record from Alexandria via LeMat-Bulk describes a relaxed structure of K3Np3TeSe8. The functional is PBE.

Computed properties:
Fermi-level density of states in states/eV/cell: 20.63
Formation energy from raw total energies in eV per atom: -0.993

abc: 8.5212 8.5212 9.1826
angles: 117.74 117.74 59.73
Positions (direct):
K  0.0000  0.0000  0.0000
K  0.0000  0.5000  0.0000
K  0.5000  0.0000  0.0000
Np  0.0000  0.5000  0.5000
Np  0.5000  0.0000  0.5000
Np  0.5000  0.5000  0.5000
Te  0.0000  0.0000  0.5000
Se  0.2331  0.2331  0.7007
Se  0.2330  0.7356  0.7021
Se  0.2641  0.2641  0.2939
Se  0.2644  0.7670  0.2979
Se  0.7356  0.2330  0.7021
Se  0.7359  0.7359  0.7061
Se  0.7670  0.2644  0.2979
Se  0.7669  0.7669  0.2993